The following is a GGA-PBE calculation of MgBe3V after structural relaxation, from the Alexandria database.

Structure (POSCAR):
```
MgBe3V
1.0
4.314 0.000 0.000
0.000 4.314 0.000
0.000 0.000 4.314
Mg Be V
1 3 1
Direct
0.000 0.000 0.000
0.000 0.500 0.500
0.500 0.000 0.500
0.500 0.500 0.000
0.500 0.500 0.500
```

Properties
E   -3.191 eV per atom
SG   Pm-3m
ΔH_f (0 K)   114.6 kJ per mole of atoms
Volume   80 Å³/cell
Excess energy over the best structure of this formula in the dataset   0 kJ/mol of formula units